Here is a relaxed structure of Pm2PbAu4 from Alexandria. Energies are from GGA-PBE.

Cell lengths 4.9857, 4.9857, 8.8642 Å; angles 73.67, 73.67, 60.00 degrees
Fractional positions:
Pm 0.7509 0.7509 0.7473
Pm 0.2491 0.2491 0.2527
Pb 0.0000 0.0000 0.0000
Au 0.8695 0.8695 0.3915
Au 0.1305 0.1305 0.6085
Au 0.6222 0.6222 0.1334
Au 0.3778 0.3778 0.8666

Results
Calculated total energy: -30.04 eV/cell
Density of states at the Fermi level: 3.58 states/eV per cell
Space-group type: R-3m, No. 166
Total magnetic moment: 0.0 Bohr magnetons per cell
Formation energy from the elements: -0.53 eV/atom



Here is a relaxed structure of Pm5Pb4Au from Alexandria. Energies are from GGA-PBE.

Cell lengths 3.5962, 3.5962, 22.2005 Å; angles 90.00, 90.00, 90.00 degrees
Fractional positions:
Pm 0.5000 0.5000 0.0862
Pm 0.5000 0.5000 0.2928
Pm 0.5000 0.5000 0.5000
Pm 0.5000 0.5000 0.7072
Pm 0.5000 0.5000 0.9138
Pb 0.0000 0.0000 0.1898
Pb 0.0000 0.0000 0.3965
Pb 0.0000 0.0000 0.6036
Pb 0.0000 0.0000 0.8102
Au 0.0000 0.0000 0.0000

Results
Calculated total energy: -47.42 eV/cell
Density of states at the Fermi level: 7.79 states/eV per cell
Space-group type: P4/mmm, No. 123
Total magnetic moment: 0.0 Bohr magnetons per cell
Formation energy from the elements: -0.56 eV/atom



Here is a relaxed structure of PmPbAu from Alexandria. Energies are from GGA-PBE.

Cell lengths 3.6345, 7.4861, 6.4652 Å; angles 71.81, 106.88, 90.35 degrees
Fractional positions:
Pb 0.8084 0.1480 0.1232
Pb 0.1916 0.8520 0.8768
Pm 0.5256 0.2475 0.5507
Pm 0.4744 0.7525 0.4493
Au 0.8489 0.5347 0.2027
Au 0.1511 0.4653 0.7973

Results
Calculated total energy: -26.34 eV/cell
Density of states at the Fermi level: 3.50 states/eV per cell
Space-group type: P-1, No. 2
Total magnetic moment: 0.0 Bohr magnetons per cell
Energy above the lowest structure with this stoichiometry: 222.7 meV per atom
Formation energy from the elements: -0.48 eV/atom



Here is a relaxed structure of Pm4PbAu2 from Alexandria. Energies are from GGA-PBE.

Cell lengths 5.8071, 5.8071, 7.7665 Å; angles 111.95, 111.95, 90.00 degrees
Fractional positions:
Pm 0.7500 0.2500 0.5000
Pm 0.2500 0.7500 0.5000
Pm 0.5000 0.0000 0.0000
Pm 0.0000 0.5000 0.0000
Pb 0.0000 0.0000 0.0000
Au 0.6429 0.6429 0.2857
Au 0.3571 0.3571 0.7143

Results
Calculated total energy: -30.45 eV/cell
Density of states at the Fermi level: 7.77 states/eV per cell
Space-group type: I4/mmm, No. 139
Total magnetic moment: 0.0 Bohr magnetons per cell
Formation energy from the elements: -0.17 eV/atom



Here is a relaxed structure of PmPbAu from Alexandria. Energies are from GGA-PBE.

Cell lengths 3.7075, 4.9118, 4.9118 Å; angles 120.00, 90.00, 90.00 degrees
Fractional positions:
Pb 0.7940 0.6667 0.3333
Au 0.8779 0.0000 0.0000
Pm 0.3281 0.3333 0.6667

Results
Calculated total energy: -13.43 eV/cell
Density of states at the Fermi level: 2.06 states/eV per cell
Space-group type: P3m1, No. 156
Total magnetic moment: 0.0 Bohr magnetons per cell
Energy above the lowest structure with this stoichiometry: 135.3 meV per atom
Formation energy from the elements: -0.57 eV/atom



Here is a relaxed structure of PmPb2Au9 from Alexandria. Energies are from GGA-PBE.

Cell lengths 5.6429, 5.6429, 9.9992 Å; angles 73.61, 73.61, 60.00 degrees
Fractional positions:
Pm 0.0000 0.0000 0.0000
Pb 0.8552 0.8552 0.4343
Pb 0.1448 0.1448 0.5657
Au 0.6671 0.6671 0.9987
Au 0.3329 0.3329 0.0013
Au 0.5000 0.5000 0.5000
Au 0.4165 0.4165 0.2483
Au 0.9186 0.4165 0.2483
Au 0.4165 0.9186 0.2483
Au 0.5835 0.5835 0.7517
Au 0.5835 0.0814 0.7517
Au 0.0814 0.5835 0.7517

Results
Calculated total energy: -44.21 eV/cell
Density of states at the Fermi level: 6.62 states/eV per cell
Space-group type: R-3m, No. 166
Total magnetic moment: 0.0 Bohr magnetons per cell
Formation energy from the elements: -0.21 eV/atom



Here is a relaxed structure of Pm3PbAu3 from Alexandria. Energies are from GGA-PBE.

Cell lengths 4.8931, 9.3844, 9.3844 Å; angles 120.00, 90.00, 90.00 degrees
Fractional positions:
Pm 0.7500 0.6709 0.5843
Pm 0.7500 0.4157 0.0866
Pm 0.7500 0.9134 0.3291
Pm 0.2500 0.3291 0.4157
Pm 0.2500 0.5843 0.9134
Pm 0.2500 0.0866 0.6709
Pb 0.2500 0.6667 0.3333
Pb 0.7500 0.3333 0.6667
Au 0.2500 0.8272 0.7965
Au 0.2500 0.2035 0.0306
Au 0.2500 0.9694 0.1728
Au 0.7500 0.1728 0.2035
Au 0.7500 0.7965 0.9694
Au 0.7500 0.0306 0.8272

Results
Calculated total energy: -63.77 eV/cell
Density of states at the Fermi level: 13.99 states/eV per cell
Space-group type: P6_3/m, No. 176
Total magnetic moment: 0.0 Bohr magnetons per cell
Formation energy from the elements: -0.58 eV/atom



Here is a relaxed structure of Pm5PbAu2 from Alexandria. Energies are from GGA-PBE.

Cell lengths 8.3220, 8.3220, 8.9567 Å; angles 117.68, 117.68, 90.00 degrees
Fractional positions:
Pm 0.5127 0.7009 0.7136
Pm 0.7991 0.9873 0.2864
Pm 0.0000 0.0000 0.0000
Pm 0.5000 0.5000 0.0000
Pm 0.2009 0.0127 0.7136
Pm 0.7009 0.2009 0.7136
Pm 0.0127 0.5127 0.7136
Pm 0.2991 0.7991 0.2864
Pm 0.9873 0.4873 0.2864
Pm 0.4873 0.2991 0.2864
Pb 0.7500 0.7500 0.5000
Pb 0.2500 0.2500 0.5000
Au 0.1352 0.3648 0.0000
Au 0.6352 0.1352 0.0000
Au 0.3648 0.8648 0.0000
Au 0.8648 0.6352 0.0000

Results
Calculated total energy: -77.28 eV/cell
Density of states at the Fermi level: 18.94 states/eV per cell
Space-group type: I4/mcm, No. 140
Total magnetic moment: 0.0 Bohr magnetons per cell
Formation energy from the elements: -0.58 eV/atom



Here is a relaxed structure of Pm8Pb2Au from Alexandria. Energies are from GGA-PBE.

Cell lengths 5.1807, 6.9636, 10.2726 Å; angles 103.71, 104.61, 90.00 degrees
Fractional positions:
Pm 0.4083 0.5240 0.8167
Pm 0.6509 0.0053 0.3019
Pm 0.7850 0.6734 0.5701
Pm 0.9850 0.2241 0.9699
Pm 0.2150 0.3266 0.4299
Pm 0.3491 0.9947 0.6981
Pm 0.5917 0.4760 0.1833
Pm 0.0150 0.7759 0.0301
Pb 0.8191 0.2377 0.6382
Pb 0.1809 0.7623 0.3618
Au 0.5000 0.0000 0.0000

Results
Calculated total energy: -52.34 eV/cell
Density of states at the Fermi level: 10.51 states/eV per cell
Space-group type: C2/m, No. 12
Total magnetic moment: 0.0 Bohr magnetons per cell
Formation energy from the elements: -0.33 eV/atom



Here is a relaxed structure of Pm4Pb3Au from Alexandria. Energies are from GGA-PBE.

Cell lengths 4.4690, 4.5806, 11.7750 Å; angles 90.00, 90.00, 90.00 degrees
Fractional positions:
Pm 0.5000 0.5000 0.3535
Pm 0.0000 0.5000 0.8741
Pm 0.0000 0.0000 0.1319
Pm 0.5000 0.0000 0.6347
Pb 0.0000 0.5000 0.5999
Pb 0.0000 0.0000 0.4037
Pb 0.5000 0.0000 0.9126
Au 0.5000 0.5000 0.0895

Results
Calculated total energy: -38.09 eV/cell
Density of states at the Fermi level: 5.88 states/eV per cell
Space-group type: Pmm2, No. 25
Total magnetic moment: 0.0 Bohr magnetons per cell
Formation energy from the elements: -0.59 eV/atom